LaBNF2: optimized geometry, PBE.

Electronic total energy = -6.505 eV per atom
E_form (uncorrected) = -1.77 eV/atom

Lattice parameters (Å, degrees): 4.5462 4.5462 2.8577 90.00 90.00 90.00
Last column: nearest neighbours and their distance in Å.
Fractional positions:
La  0.0000  0.0000  0.0000  8 F 2.68, 2 La 2.86
B  0.5000  0.5000  0.5000  2 N 1.43
N  0.5000  0.5000  0.0000  2 B 1.43
F  0.0000  0.5000  0.5000  2 B 2.27
F  0.5000  0.0000  0.5000  2 B 2.27